The following is a PBE+U calculation of K2Pm2CoO6 after structural relaxation, from Alexandria.

Calculated values
Total magnetic moment = 2.20 μB per cell
E = -6.253 eV per atom

abc: 5.8846 10.0580 6.5685
angles: 90.00 104.00 90.00
Space group C2/m (No. 12)
Unique sites:
K  0.0000  0.1544  0.0000
Pm  0.0000  0.3354  0.5000
Co  0.0000  0.0000  0.5000
O  0.1885  0.1463  0.6682
O  0.2294  0.0000  0.3291